The following is a PBE calculation of crystalline Nb4Ag2O11 at its relaxed geometry, from Alexandria.

abc: 6.433 6.433 13.045
angles: 102.99 102.99 57.33
Atoms (fractional coordinates):
Nb: 0.070 0.930 0.500
Nb: 0.140 0.672 0.738
Nb: 0.279 0.426 0.998
Nb: 0.426 0.279 0.498
Nb: 0.549 0.791 0.985
Nb: 0.672 0.140 0.238
Nb: 0.791 0.549 0.485
Nb: 0.930 0.070 0.000
Ag: 0.016 0.465 0.234
Ag: 0.347 0.811 0.247
Ag: 0.465 0.016 0.734
Ag: 0.811 0.347 0.747
O: 0.078 0.598 0.478
O: 0.095 0.930 0.661
O: 0.148 0.204 0.498
O: 0.204 0.148 0.998
O: 0.265 0.432 0.847
O: 0.281 0.757 0.030
O: 0.396 0.411 0.157
O: 0.411 0.396 0.657
O: 0.419 0.709 0.503
O: 0.432 0.265 0.347
O: 0.474 0.730 0.839
O: 0.598 0.078 0.978
O: 0.627 0.881 0.164
O: 0.649 0.931 0.499
O: 0.709 0.419 0.003
O: 0.730 0.474 0.339
O: 0.757 0.281 0.530
O: 0.881 0.627 0.664
O: 0.930 0.095 0.161
O: 0.931 0.649 0.999
O: 0.945 0.947 0.850
O: 0.947 0.945 0.350

Results
Size of the total moment: 0.00 μB per formula unit
Density: 5772 kg/m3
Energy: -8.00 eV per atom
SG: No. 9